VASP calculation (PBE+U) on crystalline Sr3NiIr2O9 at its relaxed geometry.

a b c (Å): 5.638 5.638 6.919
angles (deg): 90.00 90.00 120.00
Atoms (fractional coordinates):
Sr (0.333, 0.667, 0.653)
Sr (0.000, 0.000, 0.000)
Sr (0.667, 0.333, 0.347)
Ni (0.000, 0.000, 0.500)
Ir (0.333, 0.667, 0.167)
Ir (0.667, 0.333, 0.833)
O (0.830, 0.170, 0.672)
O (0.830, 0.660, 0.672)
O (0.340, 0.170, 0.672)
O (0.660, 0.830, 0.328)
O (0.170, 0.340, 0.328)
O (0.170, 0.830, 0.328)
O (0.500, 0.000, 0.000)
O (0.000, 0.500, 0.000)
O (0.500, 0.500, 0.000)

Results
Total magnetic moment, μB per atom: 0.39
Crystal system: trigonal
Calculated volume, Å³ per cell: 190
Final energy, eV per atom: -6.316
Density of states at the Fermi level, states/eV/f.u.: 7.5